Computed, not measured: a geometry-optimized Ba8In structure at the GGA-PBEsol level of DFT.

Values from the calculation:
The space group is I4/mmm, No. 139. Its formation energy from the elements is -0.60 eV/f.u. The value obtained for the magnetization is 0.0 μB per cell.

abc: 10.3723 10.3723 10.3723
angles: 92.82 92.82 154.37
Closest atoms and distances in Å follow each position.
Element x y z (fractional)
1 Ba 0.0000 0.3344 0.3344  8 Ba 4.06-4.12
2 Ba 0.0000 0.6656 0.6656  8 Ba 4.06-4.12
3 Ba 0.3344 0.0000 0.3344  8 Ba 4.06-4.12
4 Ba 0.3567 0.3567 0.7133  2 In 3.70, 6 Ba 4.10-4.12
5 Ba 0.3567 0.6433 0.0000  2 In 3.70, 6 Ba 4.10-4.12
6 Ba 0.6433 0.3567 0.0000  2 In 3.70, 6 Ba 4.10-4.12
7 Ba 0.6433 0.6433 0.2867  2 In 3.70, 6 Ba 4.10-4.12
8 Ba 0.6656 0.0000 0.6656  8 Ba 4.06-4.12
9 In 0.0000 0.0000 0.0000  8 Ba 3.70

Computed, not measured: a geometry-optimized BeSb2Ir structure at the GGA-PBEsol level of DFT.

Values from the calculation:
The space group is Cmmm, No. 65. The formation energy (no corrections) comes out at 441.9 meV per atom. The value obtained for the magnetization is 0.0 μB per cell.

abc: 4.7627 4.7627 3.2277
angles: 90.00 90.00 102.93
Closest atoms and distances in Å follow each position.
Element x y z (fractional)
1 Be 0.0000 0.0000 0.0000  8 Sb 2.88, 2 Ir 2.97
2 Sb 0.0000 0.5000 0.5000  4 Be 2.88, 4 Ir 2.88, 2 Sb 2.97
3 Sb 0.5000 0.0000 0.5000  4 Be 2.88, 4 Ir 2.88, 2 Sb 2.97
4 Ir 0.5000 0.5000 0.0000  8 Sb 2.88, 2 Be 2.97

Copy entry 1 word for word.
Computed, not measured: a geometry-optimized Ba8In structure at the GGA-PBEsol level of DFT.

Values from the calculation:
The space group is I4/mmm, No. 139. Its formation energy from the elements is -0.60 eV/f.u. The value obtained for the magnetization is 0.0 μB per cell.

abc: 10.3723 10.3723 10.3723
angles: 92.82 92.82 154.37
Closest atoms and distances in Å follow each position.
Element x y z (fractional)
1 Ba 0.0000 0.3344 0.3344  8 Ba 4.06-4.12
2 Ba 0.0000 0.6656 0.6656  8 Ba 4.06-4.12
3 Ba 0.3344 0.0000 0.3344  8 Ba 4.06-4.12
4 Ba 0.3567 0.3567 0.7133  2 In 3.70, 6 Ba 4.10-4.12
5 Ba 0.3567 0.6433 0.0000  2 In 3.70, 6 Ba 4.10-4.12
6 Ba 0.6433 0.3567 0.0000  2 In 3.70, 6 Ba 4.10-4.12
7 Ba 0.6433 0.6433 0.2867  2 In 3.70, 6 Ba 4.10-4.12
8 Ba 0.6656 0.0000 0.6656  8 Ba 4.06-4.12
9 In 0.0000 0.0000 0.0000  8 Ba 3.70

Q: What is the formula in the first record?
A: Ba8In